{"formula": "BaFe2Bi2O7", "functional": "GGA+U", "state": "relaxed", "lattice_angstrom": [[4.070, 0.000, 0.000], [0.000, 5.959, 0.000], [-2.035, -2.979, 8.240]], "species": ["Ba", "Fe", "Fe", "Bi", "Bi", "O", "O", "O", "O", "O", "O", "O"], "fractional_positions": [[0.000, 0.094, 0.000], [0.397, 0.457, 0.795], [0.603, 0.662, 0.205], [0.273, 0.769, 0.545], [0.727, 0.223, 0.455], [0.408, 0.782, 0.816], [0.729, 0.847, 0.459], [0.134, 0.585, 0.268], [0.592, 0.966, 0.184], [0.271, 0.389, 0.541], [0.866, 0.317, 0.732], [0.500, 0.410, 0.000]], "vol_a3_per_atom": 16.65, "final_energy_ev_per_atom": -6.1028}